# 1
A relaxed structure of Al11Cr4. Source: Alexandria via LeMat-Bulk, functional PBE-GGA.

Cell lengths 5.094, 5.139, 8.966 Å; angles 74.31, 89.75, 79.56 degrees
Fractional positions:
Al 0.000 0.000 0.000
Al 0.057 0.823 0.317
Al 0.148 0.534 0.874
Al 0.192 0.272 0.367
Al 0.424 0.329 0.626
Al 0.490 0.100 0.125
Al 0.510 0.900 0.875
Al 0.576 0.671 0.374
Al 0.808 0.728 0.633
Al 0.852 0.466 0.126
Al 0.943 0.177 0.683
Cr 0.295 0.855 0.599
Cr 0.344 0.602 0.133
Cr 0.656 0.398 0.867
Cr 0.705 0.145 0.401

The value obtained for the density of states at the Fermi level is 7.22 states/eV per cell. The calculated total energy comes out at -5.46 eV/atom. As for the total magnetization: 4.6 μB per cell. As for the density: 3.78 g cm⁻³.



# 2
A relaxed structure of Sr3Li2TcO6. Source: Alexandria via LeMat-Bulk, functional PBE-GGA.

Cell lengths 5.758, 5.758, 6.335 Å; angles 90.00, 90.00, 120.00 degrees
Fractional positions:
Sr 0.000 0.000 0.000
Sr 0.333 0.667 0.619
Sr 0.667 0.333 0.381
Li 0.333 0.667 0.197
Li 0.667 0.333 0.803
Tc 0.000 0.000 0.500
O 0.163 0.327 0.307
O 0.163 0.837 0.307
O 0.327 0.163 0.693
O 0.673 0.837 0.307
O 0.837 0.163 0.693
O 0.837 0.673 0.693

The value obtained for the density of states at the Fermi level is 2.28 states/eV per cell. The value obtained for the uncorrected formation energy is -2111 meV per atom. As for the total magnetization: 3.0 μB per cell. As for the density: 4.30 g cm⁻³.



# 3
A relaxed structure of TlHgSbBr6. Source: Alexandria via LeMat-Bulk, functional PBE-GGA.

Cell lengths 7.355, 7.355, 14.588 Å; angles 90.00, 90.00, 120.00 degrees
Fractional positions:
Tl 0.000 0.000 0.000
Tl 0.000 0.000 0.500
Hg 0.333 0.667 0.250
Hg 0.667 0.333 0.750
Sb 0.333 0.667 0.750
Sb 0.667 0.333 0.250
Br 0.002 0.369 0.637
Br 0.002 0.633 0.863
Br 0.367 0.369 0.863
Br 0.367 0.998 0.637
Br 0.369 0.002 0.137
Br 0.369 0.367 0.363
Br 0.631 0.633 0.637
Br 0.631 0.998 0.863
Br 0.633 0.002 0.363
Br 0.633 0.631 0.137
Br 0.998 0.367 0.137
Br 0.998 0.631 0.363

The value obtained for the density of states at the Fermi level is 0.00 states/eV per cell. The value obtained for the uncorrected formation energy is -597 meV per atom. As for the total magnetization: 0.0 μB per cell. As for the density: 4.89 g cm⁻³.



# 4
A relaxed structure of Sc2TcSn2. Source: Alexandria via LeMat-Bulk, functional PBE-GGA.

Cell lengths 7.130, 7.130, 4.161 Å; angles 90.00, 90.00, 90.00 degrees
Fractional positions:
Sc 0.169 0.331 0.000
Sc 0.331 0.831 0.000
Sc 0.669 0.169 0.000
Sc 0.831 0.669 0.000
Tc 0.000 0.000 0.500
Tc 0.500 0.500 0.500
Sn 0.141 0.641 0.500
Sn 0.359 0.141 0.500
Sn 0.641 0.859 0.500
Sn 0.859 0.359 0.500

The value obtained for the density of states at the Fermi level is 7.84 states/eV per cell. The calculated total energy comes out at -6.56 eV/atom. As for the total magnetization: 0.0 μB per cell. As for the density: 6.68 g cm⁻³.



# 5
A relaxed structure of KRbScAs2. Source: Alexandria via LeMat-Bulk, functional PBE-GGA.

Cell lengths 5.277, 5.277, 5.987 Å; angles 90.00, 90.00, 90.00 degrees
Fractional positions:
K 0.000 0.000 0.000
Rb 0.500 0.500 0.000
Sc 0.000 0.000 0.500
As 0.000 0.500 0.500
As 0.500 0.000 0.500

The value obtained for the density of states at the Fermi level is 2.59 states/eV per cell. The calculated total energy comes out at -3.77 eV/atom. As for the total magnetization: 0.3 μB per cell. As for the density: 3.18 g cm⁻³.



# 6
A relaxed structure of ZrSnNO2. Source: Alexandria via LeMat-Bulk, functional PBE-GGA.

Cell lengths 4.151, 4.151, 4.386 Å; angles 90.00, 90.00, 90.00 degrees
Fractional positions:
Zr 0.000 0.000 0.000
Sn 0.500 0.500 0.500
N 0.000 0.000 0.500
O 0.000 0.500 0.000
O 0.500 0.000 0.000

The value obtained for the density of states at the Fermi level is 1.53 states/eV per cell. The value obtained for the uncorrected formation energy is -1287 meV per atom. As for the total magnetization: 0.9 μB per cell. As for the density: 5.62 g cm⁻³.



# 7
A relaxed structure of PmMgHgIr. Source: Alexandria via LeMat-Bulk, functional PBE-GGA.

Cell lengths 4.947, 4.947, 4.947 Å; angles 60.00, 60.00, 60.00 degrees
Fractional positions:
Pm 0.000 0.000 0.000
Mg 0.500 0.500 0.500
Hg 0.750 0.750 0.750
Ir 0.250 0.250 0.250

The value obtained for the density of states at the Fermi level is 2.87 states/eV per cell. The calculated total energy comes out at -4.22 eV/atom. As for the total magnetization: 0.0 μB per cell. As for the density: 10.90 g cm⁻³.



# 8
A relaxed structure of PrY3Tm2As6. Source: Alexandria via LeMat-Bulk, functional PBE-GGA.

Cell lengths 7.165, 7.165, 7.167 Å; angles 99.60, 99.60, 120.00 degrees
Fractional positions:
Pr 0.000 0.000 0.000
Y 0.165 0.835 0.500
Y 0.500 0.500 0.500
Y 0.835 0.165 0.500
Tm 0.333 0.667 0.000
Tm 0.667 0.333 0.000
As 0.084 0.425 0.251
As 0.258 0.258 0.750
As 0.425 0.084 0.251
As 0.575 0.916 0.749
As 0.742 0.742 0.250
As 0.916 0.575 0.749

The value obtained for the density of states at the Fermi level is 1.85 states/eV per cell. The calculated total energy comes out at -6.60 eV/atom. As for the total magnetization: 0.0 μB per cell. As for the density: 6.61 g cm⁻³.